A plane-wave DFT calculation with PBE was carried out for MgNi2SnPt after structural relaxation.

Lattice parameters (Å, degrees): 4.301 4.301 5.057 90.00 90.00 90.00
Space group P4/mmm (No. 123)
Asymmetric unit:
Mg (0.000, 0.000, 0.000) [1 per cell]
Ni (0.000, 0.500, 0.000) [2 per cell]
Sn (0.000, 0.000, 0.500) [1 per cell]
Pt (0.500, 0.500, 0.500) [1 per cell]

Calculated values
* Fermi-level density of states: 0.98 states/eV per atom
* E_form: 513 kJ/mol of formula units
* crystal system: tetragonal
* E_tot: -17.884 eV/cell